8
Lattice="-0.4339 -2.6005 2.5005 3.2275 1.6225 -0.3926 -3.7538 9.7671 9.5062" Properties=species:S:1:pos:R:3 comment="PrNd3Cl2O2 PBE relaxed" total_energy_ev_per_atom=-6.084 volume_a3_per_cell=161.6 spacegroup="P3m1, No. 156" pbc="T T T"
Cl -0.1612 1.2730 3.9361
Cl -2.8147 7.3236 7.1280
Nd -1.5193 3.9531 3.8475
Nd -1.4513 4.6299 7.2033
Nd -2.6016 7.6227 10.1162
O 0.1299 5.0988 5.3253
O -1.7355 9.9525 10.0493
Pr -0.3650 0.9497 0.9244